Here is a relaxed Na2Bi3Pd2 crystal from the Alexandria database. Energies are from PBE-GGA.

abc: 4.429 5.969 8.442
angles: 114.00 90.00 111.77
Sites, in units of the cell vectors:
Na1 0.839 0.679 0.188
Na2 0.161 0.321 0.812
Bi1 0.376 0.752 0.556
Bi2 0.500 0.000 0.000
Pd1 0.133 0.266 0.238
Bi3 0.624 0.248 0.444
Pd2 0.867 0.734 0.762

Formation enthalpy at 0 K = -28 kJ per mole of atoms
VASP energy = -3.8092 eV/atom
Calculated density = 7.9 g/cm3
Symmetry = C2/m (12)